Material: Li2Fe3F8
Method: DFT, GGA-PBEsol
State: optimized geometry

Cell: 5.4265 11.3103 5.2483 Å, 90.00 117.62 90.00°
Element x y z (fractional)
Li 0.2032 0.0513 0.2992
Li 0.2032 0.4487 0.7992
Li 0.7968 0.5513 0.2008
Li 0.7968 0.9487 0.7008
Fe 0.1434 0.7030 0.8585
Fe 0.1434 0.7970 0.3585
Fe 0.5000 0.0000 0.0000
Fe 0.5000 0.5000 0.5000
Fe 0.8566 0.2030 0.6415
Fe 0.8566 0.2970 0.1415
F 0.1007 0.1819 0.4305
F 0.1007 0.3181 0.9305
F 0.1157 0.0648 0.8873
F 0.1157 0.4352 0.3873
F 0.3601 0.6566 0.6067
F 0.3601 0.8434 0.1067
F 0.3881 0.5702 0.1068
F 0.3881 0.9298 0.6068
F 0.6119 0.0702 0.3932
F 0.6119 0.4298 0.8932
F 0.6399 0.1566 0.8933
F 0.6399 0.3434 0.3933
F 0.8843 0.5648 0.6127
F 0.8843 0.9352 0.1127
F 0.8993 0.6819 0.0695
F 0.8993 0.8181 0.5695

Raw total energy   -5.702 eV/atom
DOS at the Fermi energy   7.54 states/eV/f.u.
SG   No. 14